Computed, not measured: a geometry-optimized MgAuCl2 structure at the GGA-PBE level of DFT.

a b c (Å): 4.5764 4.5764 3.8970
angles (deg): 90.00 90.00 90.00
Fractional positions:
Mg: 0.0000 0.0000 0.0000
Au: 0.5000 0.5000 0.0000
Cl: 0.0000 0.5000 0.5000
Cl: 0.5000 0.0000 0.5000

Calculated values
Final energy, eV per cell: -9.88
Total magnetic moment, μB per formula unit: 0.000
DOS at the Fermi energy, states/eV/atom: 0.2750